(1)
A relaxed structure of BaCo2N2, computed with PBEsol.

Cell: 6.0087 6.0087 8.9508 Å, 90.00 90.00 90.00°
Last column: nearest neighbours and their distance in Å.
Space group I4/mcm (No. 140)
One atom of each set of equivalent atoms:
Ba 0.0000 0.0000 0.2500 (multiplicity 4)  8 N 3.17, 8 Co 3.24
Co 0.1323 0.3677 0.0000 (multiplicity 8)  3 N 1.73-1.79
N 0.1637 0.3363 0.5000 (multiplicity 8)  3 Co 1.73-1.79

Values from the calculation:
total DFT energy (no corrections)	-7.43	eV/atom
Fermi-level density of states	1.2	states/eV/f.u.

=====

(2)
A relaxed structure of Ag4SbCl, computed with PBEsol.

Cell: 7.7545 7.7545 7.7545 Å, 90.00 90.00 90.00°
Last column: nearest neighbours and their distance in Å.
Space group F-43m (No. 216)
One atom of each set of equivalent atoms:
Ag 0.1246 0.1246 0.1246 (multiplicity 16)  6 Ag 2.73-2.75
Sb 0.2500 0.2500 0.7500 (multiplicity 4)  12 Ag 3.21, 4 Cl 3.36
Cl 0.0000 0.0000 0.5000 (multiplicity 4)  12 Ag 3.22, 4 Sb 3.36

Values from the calculation:
total DFT energy (no corrections)	-3.14	eV/atom
Fermi-level density of states	3.7	states/eV/f.u.

=====

(3)
A relaxed structure of TlAu2, computed with PBEsol.

Cell: 3.8395 3.8395 4.5508 Å, 90.00 90.00 90.00°
Last column: nearest neighbours and their distance in Å.
Space group P4/mmm (No. 123)
One atom of each set of equivalent atoms:
Tl 0.0000 0.0000 0.0000 (multiplicity 1)  8 Au 2.98
Au 0.0000 0.5000 0.5000 (multiplicity 2)  4 Au 2.71, 4 Tl 2.98

Values from the calculation:
total DFT energy (no corrections)	-3.42	eV/atom
polymorph energy (0 for the lowest one)	0.059	eV per atom
Fermi-level density of states	0.9	states/eV/f.u.
ΔE_f	0.08	eV/atom

=====

(4)
A relaxed structure of LiAg2Pb, computed with PBEsol.

Cell: 4.4114 4.4114 7.7278 Å, 90.00 90.00 90.00°
Last column: nearest neighbours and their distance in Å.
Space group I4/mmm (No. 139)
One atom of each set of equivalent atoms:
Li 0.0000 0.0000 0.0000 (multiplicity 2)  8 Ag 2.93, 4 Pb 3.12
Ag 0.0000 0.5000 0.2500 (multiplicity 4)  4 Pb 2.93, 4 Li 2.93, 4 Ag 3.12
Pb 0.0000 0.0000 0.5000 (multiplicity 2)  8 Ag 2.93, 4 Li 3.12

Values from the calculation:
total DFT energy (no corrections)	-3.26	eV/atom
Fermi-level density of states	1.1	states/eV/f.u.
ΔE_f	-0.12	eV/atom